The following is a PBE calculation of an optimized crystal structure of UTc2, from the Alexandria database.

## Properties
calculated formation energy: 0.044 eV/atom
D(E_F): 13.84 states/eV per cell
energy relative to the lowest polymorph listed for this composition: 0.0687 eV/atom

a = 5.3227 Å, b = 5.3227 Å, c = 5.3227 Å
α = 60.00°, β = 60.00°, γ = 60.00°
Last column: nearest neighbours and their distance in Å.
Fractional positions:
U  0.2500  0.2500  0.2500  12 Tc 3.12, 4 U 3.26
U  0.0000  0.0000  0.0000  12 Tc 3.12, 4 U 3.26
Tc  0.6250  0.1250  0.6250  6 Tc 2.66
Tc  0.6250  0.6250  0.1250  6 Tc 2.66
Tc  0.1250  0.6250  0.6250  6 Tc 2.66
Tc  0.6250  0.6250  0.6250  6 Tc 2.66



The following is a PBE calculation of an optimized crystal structure of U6Tc, from the Alexandria database.

## Properties
calculated formation energy: 1.472 eV/atom
D(E_F): 24.37 states/eV per cell

a = 6.1228 Å, b = 6.1228 Å, c = 6.1228 Å
α = 109.47°, β = 109.47°, γ = 109.47°
Last column: nearest neighbours and their distance in Å.
Fractional positions:
U  0.7500  0.5000  0.2500  4 U 2.50
U  0.5000  0.7500  0.2500  4 U 2.50
U  0.2500  0.7500  0.5000  4 U 2.50
U  0.5000  0.2500  0.7500  4 U 2.50
U  0.7500  0.2500  0.5000  4 U 2.50
U  0.2500  0.5000  0.7500  4 U 2.50
Tc  0.0000  0.0000  0.0000  24 U 3.95